Entry w
Density functional theory data (PBE) for crystalline Tc5Mo4 at its relaxed geometry.

Output
Density of states at the Fermi level, states/eV per atom: 1.200
Total magnetization, μB/atom: 0.000
V, Å³/f.u.: 137.0

Geometry as POSCAR:
```
Tc5Mo4
1.0
-4.685 4.685 1.561
4.685 -4.685 1.561
4.685 4.685 -1.561
Tc Mo
5 4
direct
0.335 0.335 0.669
0.665 0.335 0.000
0.000 0.000 0.000
0.335 0.665 0.000
0.665 0.665 0.331
0.333 0.000 0.333
0.000 0.333 0.333
0.000 0.667 0.667
0.667 0.000 0.667
```



Entry x
Density functional theory data (PBE) for crystalline Tc5Mo4 at its relaxed geometry.

Output
Density of states at the Fermi level, states/eV per atom: 1.158
Total magnetization, μB/atom: 0.000
V, Å³/f.u.: 138.1

Geometry as POSCAR:
```
Tc5Mo4
1.0
-2.912 -7.164 0.087
2.138 -5.109 -5.397
4.026 -1.599 3.109
Tc Mo
10 8
direct
0.333 0.333 0.000
0.689 0.000 0.250
0.311 0.689 0.250
0.689 0.311 0.750
0.311 0.000 0.750
0.667 0.667 0.000
0.333 0.333 0.500
0.000 0.689 0.750
0.000 0.311 0.250
0.667 0.667 0.500
0.000 0.000 0.500
0.366 0.634 0.750
0.634 0.366 0.250
0.000 0.000 0.000
0.000 0.366 0.750
0.634 0.000 0.750
0.000 0.634 0.250
0.366 0.000 0.250
```



It comes down to entry w, which is 8.4 kJ/mol of atoms more stable than the next structure.